# PBE Y2AlGaO, optimized geometry
data_Y2AlGaO
_chemical_formula_sum 'Y2 Al1 Ga1 O1'
_space_group_name_H-M_alt 'P 1'
_space_group_IT_number 1
_space_group_name_Hall 'P 1'
_cell_length_a 5.749
_cell_length_b 5.749
_cell_length_c 3.523
_cell_angle_alpha 90.00
_cell_angle_beta 90.00
_cell_angle_gamma 90.00
loop_
_atom_site_label
_atom_site_type_symbol
_atom_site_fract_x
_atom_site_fract_y
_atom_site_fract_z
O1 O 0.000 0.000 0.500
Y1 Y 0.500 0.000 0.000
Y2 Y 0.000 0.500 0.000
Ga1 Ga 0.500 0.500 0.500
Al1 Al 0.000 0.000 0.000
# **E_form (uncorrected)**: -40.36 kJ/mol of atoms
# **Crystal system**: tetragonal
# **SG**: No. 123
# **Calculated volume**: 116 Å³/cell

---

# PBE ZrAlGa2O, optimized geometry
data_ZrAlGa2O
_chemical_formula_sum 'Zr1 Al1 Ga2 O1'
_space_group_name_H-M_alt 'P 1'
_space_group_IT_number 1
_space_group_name_Hall 'P 1'
_cell_length_a 4.714
_cell_length_b 3.647
_cell_length_c 4.714
_cell_angle_alpha 90.00
_cell_angle_beta 90.00
_cell_angle_gamma 90.00
loop_
_atom_site_label
_atom_site_type_symbol
_atom_site_fract_x
_atom_site_fract_y
_atom_site_fract_z
O1 O 0.000 0.000 0.000
Al1 Al 0.000 0.500 0.000
Ga1 Ga 0.500 0.000 0.000
Ga2 Ga 0.000 0.000 0.500
Zr1 Zr 0.500 0.500 0.500
# **E_form (uncorrected)**: -58.10 kJ/mol of atoms
# **Crystal system**: tetragonal
# **SG**: No. 123
# **Calculated volume**: 81 Å³/cell

---

# PBE AlGaOs2, optimized geometry
data_AlGaOs2
_chemical_formula_sum 'Al1 Ga1 Os2'
_space_group_name_H-M_alt 'P 1'
_space_group_IT_number 1
_space_group_name_Hall 'P 1'
_cell_length_a 3.050
_cell_length_b 4.274
_cell_length_c 4.274
_cell_angle_alpha 90.00
_cell_angle_beta 90.00
_cell_angle_gamma 90.00
loop_
_atom_site_label
_atom_site_type_symbol
_atom_site_fract_x
_atom_site_fract_y
_atom_site_fract_z
Ga1 Ga 0.500 0.000 0.000
Os1 Os 0.000 0.000 0.500
Os2 Os 0.000 0.500 0.000
Al1 Al 0.500 0.500 0.500
# **Energy relative to the lowest polymorph listed for this composition**: 0.00 eV per formula unit
# **Crystal system**: tetragonal
# **SG**: No. 123
# **Calculated volume**: 56 Å³/cell
# **Formation energy**: -0.14 eV/atom

---

# PBE AlGaOs2, optimized geometry
data_AlGaOs2
_chemical_formula_sum 'Al2 Ga2 Os4'
_space_group_name_H-M_alt 'P 1'
_space_group_IT_number 1
_space_group_name_Hall 'P 1'
_cell_length_a 6.986
_cell_length_b 6.986
_cell_length_c 5.585
_cell_angle_alpha 51.29
_cell_angle_beta 51.29
_cell_angle_gamma 90.00
loop_
_atom_site_label
_atom_site_type_symbol
_atom_site_fract_x
_atom_site_fract_y
_atom_site_fract_z
Al1 Al 0.250 0.750 0.500
Al2 Al 0.500 0.500 0.000
Ga1 Ga 0.000 0.000 0.000
Ga2 Ga 0.750 0.250 0.500
Os1 Os 0.875 0.874 0.750
Os2 Os 0.624 0.125 0.250
Os3 Os 0.126 0.625 0.250
Os4 Os 0.375 0.376 0.750
# **Energy relative to the lowest polymorph listed for this composition**: 3.17 eV per formula unit
# **Crystal system**: tetragonal
# **SG**: No. 122
# **Calculated volume**: 127 Å³/cell
# **Formation energy**: 0.65 eV/atom

---

# PBE AlGaOs3, optimized geometry
data_AlGaOs3
_chemical_formula_sum 'Al1 Ga1 Os3'
_space_group_name_H-M_alt 'P 1'
_space_group_IT_number 1
_space_group_name_Hall 'P 1'
_cell_length_a 4.493
_cell_length_b 4.493
_cell_length_c 4.493
_cell_angle_alpha 90.00
_cell_angle_beta 90.00
_cell_angle_gamma 90.00
loop_
_atom_site_label
_atom_site_type_symbol
_atom_site_fract_x
_atom_site_fract_y
_atom_site_fract_z
Os1 Os 0.000 0.500 0.000
Os2 Os 0.500 0.000 0.000
Os3 Os 0.000 0.000 0.500
Ga1 Ga 0.000 0.000 0.000
Al1 Al 0.500 0.500 0.500
# **Energy relative to the lowest polymorph listed for this composition**: 0.59 eV per formula unit
# **Crystal system**: cubic
# **SG**: No. 221
# **Calculated volume**: 91 Å³/cell
# **Formation energy**: 1.69 eV/atom

---

# PBE AlGaOs3, optimized geometry
data_AlGaOs3
_chemical_formula_sum 'Al1 Ga1 Os3'
_space_group_name_H-M_alt 'P 1'
_space_group_IT_number 1
_space_group_name_Hall 'P 1'
_cell_length_a 4.434
_cell_length_b 4.434
_cell_length_c 4.434
_cell_angle_alpha 90.00
_cell_angle_beta 90.00
_cell_angle_gamma 90.00
loop_
_atom_site_label
_atom_site_type_symbol
_atom_site_fract_x
_atom_site_fract_y
_atom_site_fract_z
Os1 Os 0.000 0.000 0.500
Os2 Os 0.500 0.000 0.000
Os3 Os 0.000 0.500 0.000
Ga1 Ga 0.500 0.500 0.500
Al1 Al 0.000 0.000 0.000
# **Energy relative to the lowest polymorph listed for this composition**: 0.00 eV per formula unit
# **Crystal system**: cubic
# **SG**: No. 221
# **Calculated volume**: 87 Å³/cell
# **Formation energy**: 1.57 eV/atom

---

# PBE AlGaOs2, optimized geometry
data_AlGaOs2
_chemical_formula_sum 'Al1 Ga1 Os2'
_space_group_name_H-M_alt 'P 1'
_space_group_IT_number 1
_space_group_name_Hall 'P 1'
_cell_length_a 4.287
_cell_length_b 4.287
_cell_length_c 4.287
_cell_angle_alpha 60.00
_cell_angle_beta 60.00
_cell_angle_gamma 60.00
loop_
_atom_site_label
_atom_site_type_symbol
_atom_site_fract_x
_atom_site_fract_y
_atom_site_fract_z
Os1 Os 0.250 0.250 0.250
Os2 Os 0.750 0.750 0.750
Ga1 Ga 0.500 0.500 0.500
Al1 Al 0.000 0.000 0.000
# **Energy relative to the lowest polymorph listed for this composition**: 0.01 eV per formula unit
# **Crystal system**: cubic
# **SG**: No. 225
# **Calculated volume**: 56 Å³/cell
# **Formation energy**: -0.14 eV/atom

---

# PBE AlGaOsPd, optimized geometry
data_AlGaOsPd
_chemical_formula_sum 'Al1 Ga1 Os1 Pd1'
_space_group_name_H-M_alt 'P 1'
_space_group_IT_number 1
_space_group_name_Hall 'P 1'
_cell_length_a 4.317
_cell_length_b 4.317
_cell_length_c 4.317
_cell_angle_alpha 60.00
_cell_angle_beta 60.00
_cell_angle_gamma 60.00
loop_
_atom_site_label
_atom_site_type_symbol
_atom_site_fract_x
_atom_site_fract_y
_atom_site_fract_z
Os1 Os 0.750 0.750 0.750
Ga1 Ga 0.500 0.500 0.500
Al1 Al 0.000 0.000 0.000
Pd1 Pd 0.250 0.250 0.250
# **Crystal system**: cubic
# **SG**: No. 216
# **Calculated volume**: 57 Å³/cell
# **Formation energy**: -0.41 eV/atom